Version 1
Density functional theory data (GGA-PBE) for a geometry-optimized HfFe3Cu structure.

POSCAR file:
```
HfFe3Cu
1.0
-1.4253 -2.5103 -3.4992
1.5928 -3.7317 2.0284
-4.0011 -0.5914 2.0540
Hf Fe Cu
1 3 1
Direct
0.0000 0.0000 0.0000
0.0000 0.5000 0.0000
0.0000 0.0000 0.5000
0.5000 0.0000 0.0000
0.5000 0.5000 0.5000
```

Computed properties:
- Crystal system: cubic
- Theoretical density: 7.3 g/cm3
- Space group: Pm-3m



Version 2
Density functional theory data (GGA-PBE) for a geometry-optimized HfFe3Cu structure.

POSCAR file:
```
HfFe3Cu
1.0
-2.9526 3.0745 -0.8631
-2.5567 -2.9803 -1.8700
-1.9134 -0.7621 3.8306
Hf Fe Cu
1 3 1
Direct
0.5000 0.5000 0.5000
0.0000 0.5000 0.0000
0.0000 0.0000 0.5000
0.5000 0.0000 0.0000
0.0000 0.0000 0.0000
```

Computed properties:
- Crystal system: cubic
- Theoretical density: 8.3 g/cm3
- Space group: Pm-3m



Which one is most stable, and which one is least stable? version 2 is the most stable of them, while version 1 is the least stable.



Version 1
Density functional theory data (GGA-PBE) for a geometry-optimized FeCu3Hg structure.

POSCAR file:
```
FeCu3Hg
1.0
4.7788 0.0000 0.0000
0.0000 4.7788 0.0000
0.0000 0.0000 4.7788
Hg Cu Fe
1 3 1
Direct
0.0000 0.0000 0.0000
0.0000 0.5000 0.0000
0.0000 0.0000 0.5000
0.5000 0.0000 0.0000
0.5000 0.5000 0.5000
```

Computed properties:
- Crystal system: cubic
- Theoretical density: 6.8 g/cm3
- Space group: Pm-3m



Version 2
Density functional theory data (GGA-PBE) for a geometry-optimized FeCu3Hg structure.

POSCAR file:
```
FeCu3Hg
1.0
-2.8006 -1.8855 2.9888
3.4552 -0.6609 2.8207
-0.7414 4.0423 1.8553
Hg Cu Fe
1 3 1
Direct
0.5000 0.5000 0.5000
0.0000 0.5000 0.0000
0.0000 0.0000 0.5000
0.5000 0.0000 0.0000
0.0000 0.0000 0.0000
```

Computed properties:
- Crystal system: cubic
- Theoretical density: 8.1 g/cm3
- Space group: Pm-3m



Which one is most stable, and which one is least stable? version 2 is the most stable of them, while version 1 is the least stable.



Version 1
Density functional theory data (GGA-PBE) for a geometry-optimized FeCuI2 structure.

POSCAR file:
```
FeCuI2
1.0
-0.2633 -3.6853 -1.7484
3.2801 -2.4349 -0.1396
-1.0576 -5.2216 6.3875
I Fe Cu
2 1 1
Direct
0.1029 0.1029 0.6913
0.8971 0.8971 0.3087
0.5000 0.5000 0.5000
0.0000 0.0000 0.0000
```

Computed properties:
- Crystal system: trigonal
- Theoretical density: 5.4 g/cm3
- Space group: R-3m



Version 2
Density functional theory data (GGA-PBE) for a geometry-optimized FeCuI2 structure.

POSCAR file:
```
FeCuI2
1.0
-2.3519 -5.5860 0.4362
0.4945 0.2643 6.0507
-6.5218 -0.2783 3.5965
I Fe Cu
4 2 2
Direct
0.6257 0.1250 0.2500
0.1243 0.6250 0.2500
0.3750 0.3743 0.7500
0.8750 0.8757 0.7500
0.5000 0.5000 0.0000
0.2500 0.7500 0.5000
0.0000 0.0000 0.0000
0.7500 0.2500 0.5000
```

Computed properties:
- Crystal system: tetragonal
- Theoretical density: 5.5 g/cm3
- Space group: I-42d



Which one is most stable, and which one is least stable? version 2 is the most stable of them, while version 1 is the least stable.



Version 1
Density functional theory data (GGA-PBE) for a geometry-optimized FeCuI6 structure.

POSCAR file:
```
FeCuI6
1.0
-1.1560 -3.9593 5.7427
5.2800 -1.3154 4.4995
-0.0476 3.2226 6.5722
Fe Cu I
1 1 6
Direct
0.5000 0.5000 0.5000
0.0000 0.0000 0.0000
0.1069 0.3984 0.7501
0.7436 0.1079 0.7491
0.6010 0.2565 0.2510
0.2564 0.8921 0.2509
0.8931 0.6016 0.2499
0.3990 0.7435 0.7490
```

Computed properties:
- Crystal system: triclinic
- Theoretical density: 5.6 g/cm3
- Space group: P-1



Version 2
Density functional theory data (GGA-PBE) for a geometry-optimized FeCuI6 structure.

POSCAR file:
```
FeCuI6
1.0
-6.2682 4.6987 2.6181
-7.6259 -2.7795 1.7142
5.3285 0.4782 4.4073
Fe Cu I
1 1 6
Direct
0.0000 0.0000 0.0000
0.5000 0.5000 0.0000
0.7804 0.8678 0.0000
0.2384 0.8901 0.3244
0.2196 0.1322 0.0000
0.7615 0.4343 0.3244
0.7615 0.1099 0.6756
0.2384 0.5657 0.6756
```

Computed properties:
- Crystal system: monoclinic
- Theoretical density: 4.7 g/cm3
- Space group: C2/m



Which one is most stable, and which one is least stable? version 2 is the most stable of them, while version 1 is the least stable.